DFT (GGA-PBE) results for a geometry-optimized NdAl3Pt structure.

Unit cell a=4.335 b=4.335 c=10.681 alpha=90.00 beta=90.00 gamma=90.00
Space group I4mm (No. 107)
Symmetry-distinct sites (fractional):
Nd (0.000, 0.000, 0.000) x2
Al (0.000, 0.000, 0.413) x2
Al (0.000, 0.500, 0.256) x4
Pt (0.000, 0.000, 0.642) x2

Results
density: 6.953 g cm⁻³
electronic total energy: -5.2548 eV/atom

=====

DFT (GGA-PBE) results for a geometry-optimized NdAlSiPt2 structure.

Unit cell a=4.269 b=4.269 c=10.217 alpha=90.00 beta=90.00 gamma=90.00
Space group P4/nmm (No. 129, origin choice 2)
Symmetry-distinct sites (fractional):
Nd (0.250, 0.250, 0.247) x2
Al (0.250, 0.750, 0.500) x2
Si (0.250, 0.250, 0.872) x2
Pt (0.250, 0.250, 0.638) x2
Pt (0.250, 0.750, 0.000) x2

Results
density: 10.516 g cm⁻³
electronic total energy: -6.3388 eV/atom

=====

DFT (GGA-PBE) results for a geometry-optimized Tb2NdAl3Si2Pt structure.

Unit cell a=4.266 b=12.116 c=6.991 alpha=90.00 beta=90.00 gamma=90.00
Space group Amm2 (No. 38)
Symmetry-distinct sites (fractional):
Tb (0.000, 0.209, 0.000) x4
Nd (0.000, 0.000, 0.375) x2
Al (0.500, 0.000, 0.027) x2
Al (0.500, 0.119, 0.677) x4
Si (0.500, 0.171, 0.291) x4
Pt (0.000, 0.000, 0.800) x2

Results
density: 7.300 g cm⁻³
electronic total energy: -5.5328 eV/atom

=====

DFT (GGA-PBE) results for a geometry-optimized TbNd2Al3Si2Pt structure.

Unit cell a=4.295 b=12.255 c=7.037 alpha=90.00 beta=90.00 gamma=90.00
Space group Amm2 (No. 38)
Symmetry-distinct sites (fractional):
Tb (0.000, 0.000, 0.000) x2
Nd (0.000, 0.209, 0.375) x4
Al (0.500, 0.000, 0.348) x2
Al (0.500, 0.116, 0.703) x4
Si (0.500, 0.162, 0.081) x4
Pt (0.000, 0.000, 0.590) x2

Results
density: 6.991 g cm⁻³
electronic total energy: -5.5237 eV/atom

=====

DFT (GGA-PBE) results for a geometry-optimized Nd2TmAl3Si2Pt structure.

Unit cell a=4.277 b=12.206 c=7.007 alpha=90.00 beta=90.00 gamma=90.00
Space group Amm2 (No. 38)
Symmetry-distinct sites (fractional):
Nd (0.000, 0.209, 0.000) x4
Tm (0.000, 0.000, 0.374) x2
Al (0.500, 0.000, 0.027) x2
Al (0.500, 0.115, 0.669) x4
Si (0.500, 0.159, 0.294) x4
Pt (0.000, 0.000, 0.779) x2

Results
density: 7.170 g cm⁻³
electronic total energy: -5.5081 eV/atom

=====

DFT (GGA-PBE) results for a geometry-optimized Nd2YAl3Si2Pt structure.

Unit cell a=4.286 b=12.253 c=7.029 alpha=90.00 beta=90.00 gamma=90.00
Space group Amm2 (No. 38)
Symmetry-distinct sites (fractional):
Nd (0.000, 0.209, 0.000) x4
Y (0.000, 0.000, 0.626) x2
Al (0.500, 0.000, 0.974) x2
Al (0.500, 0.115, 0.329) x4
Si (0.500, 0.161, 0.707) x4
Pt (0.000, 0.000, 0.216) x2

Results
density: 6.384 g cm⁻³
electronic total energy: -5.7312 eV/atom

=====

DFT (GGA-PBE) results for a geometry-optimized TbNdAl2Pt4 structure.

Unit cell a=4.3694 b=4.3694 c=9.4583 alpha=90.00 beta=90.00 gamma=120.00
Space group P-6m2 (No. 187)
Symmetry-distinct sites (fractional):
Tb (0.0000, 0.0000, 0.0000) x1
Nd (0.6667, 0.3333, 0.5000) x1
Al (0.3333, 0.6667, 0.2450) x2
Pt (0.0000, 0.0000, 0.3201) x2
Pt (0.6667, 0.3333, 0.1640) x2

Results
density: 12.078 g cm⁻³
electronic total energy: -6.2801 eV/atom

=====

DFT (GGA-PBE) results for a geometry-optimized NdTmAl2Pt4 structure.

Unit cell a=4.3570 b=4.3570 c=9.3800 alpha=90.00 beta=90.00 gamma=120.00
Space group P-6m2 (No. 187)
Symmetry-distinct sites (fractional):
Nd (0.0000, 0.0000, 0.0000) x1
Tm (0.6667, 0.3333, 0.5000) x1
Al (0.3333, 0.6667, 0.2578) x2
Pt (0.0000, 0.0000, 0.3414) x2
Pt (0.6667, 0.3333, 0.1823) x2

Results
density: 12.356 g cm⁻³
electronic total energy: -6.2751 eV/atom

=====

Asked for total magnetization across the records above, the calculation gives 0.01; 0.01; 0.03; 0.01; 0.00; 0.01; 0.01; 0.00 μB per cell in order.